DFT (PBE) results for Co2ReRu after structural relaxation.

Calculated values
Offset from the most stable computed form: 43 meV per atom
ΔE_f: 96.2 meV/atom

a = 2.6677 Å, b = 3.6496 Å, c = 5.2127 Å
α = 90.00°, β = 90.00°, γ = 90.00°
Last column: nearest neighbours and their distance in Å.
Space group Pmm2 (No. 25)
Inequivalent atoms, fractional coordinates:
Co (0.0000, 0.0000, 0.0000) (multiplicity 1)  1 Re 2.46, 6 Co 2.53-2.67, 4 Ru 2.64
Co (0.5000, 0.5000, 0.2176) (multiplicity 1)  2 Ru 2.50-2.71, 6 Co 2.53-2.67, 4 Re 2.62
Re (0.0000, 0.0000, 0.4713) (multiplicity 1)  5 Co 2.46-2.62, 4 Ru 2.65, 2 Re 2.67
Ru (0.5000, 0.5000, 0.7376) (multiplicity 1)  6 Co 2.50-2.71, 4 Re 2.65, 2 Ru 2.67

DFT (PBE) results for La2YSiP after structural relaxation.

Calculated values
Energy relative to the elements, uncorrected: -16.26 kJ per mole of atoms

a = 5.6151 Å, b = 5.6151 Å, c = 4.6648 Å
α = 90.00°, β = 90.00°, γ = 90.00°
Last column: nearest neighbours and their distance in Å.
Space group P4/mmm (No. 123)
Inequivalent atoms, fractional coordinates:
La (0.0000, 0.5000, 0.0000) (multiplicity 2)  2 P 2.81
Y (0.0000, 0.0000, 0.5000) (multiplicity 1)  8 La 3.65, 4 Si 3.97
Si (0.5000, 0.5000, 0.5000) (multiplicity 1)  2 P 2.33
P (0.5000, 0.5000, 0.0000) (multiplicity 1)  2 Si 2.33

DFT (PBE) results for BPAu after structural relaxation.

Calculated values
Offset from the most stable computed form: 46 meV per atom
ΔE_f: -22.1 meV/atom

a = 11.0564 Å, b = 5.4928 Å, c = 3.2193 Å
α = 90.00°, β = 106.73°, γ = 90.00°
Last column: nearest neighbours and their distance in Å.
Space group C2 (No. 5)
Inequivalent atoms, fractional coordinates:
B (0.2142, 0.0000, 0.2145) (multiplicity 4)  3 P 1.91-1.94
P (0.2246, 0.6476, 0.2246) (multiplicity 4)  3 B 1.91-1.94
Au (0.0000, 0.0765, 0.0000) (multiplicity 2)  2 B 2.31
Au (0.0000, 0.5761, 0.0000) (multiplicity 2)  2 P 2.41

DFT (PBE) results for ZnGaCuNi after structural relaxation.

Calculated values
ΔE_f: -198.8 meV/atom

a = 2.9354 Å, b = 2.9354 Å, c = 5.9393 Å
α = 90.00°, β = 90.00°, γ = 90.00°
Last column: nearest neighbours and their distance in Å.
Space group P4mm (No. 99)
Inequivalent atoms, fractional coordinates:
Zn (0.0000, 0.0000, 0.0000) (multiplicity 1)  4 Ni 2.55, 4 Cu 2.58, 1 Ga 2.85
Ga (0.0000, 0.0000, 0.5208) (multiplicity 1)  4 Ni 2.48, 4 Cu 2.60
Cu (0.5000, 0.5000, 0.2581) (multiplicity 1)  4 Zn 2.58, 4 Ga 2.60
Ni (0.5000, 0.5000, 0.7505) (multiplicity 1)  4 Ga 2.48, 4 Zn 2.55

DFT (PBE) results for Ac12ZnCo5 after structural relaxation.

Calculated values
ΔE_f: -4.9 meV/atom

a = 7.2658 Å, b = 13.0652 Å, c = 13.6630 Å
α = 90.00°, β = 90.73°, γ = 90.00°
Last column: nearest neighbours and their distance in Å.
Space group C2/m (No. 12)
Inequivalent atoms, fractional coordinates:
Ac (0.1341, 0.0000, 0.1220) (multiplicity 4)  2 Co 2.88, 1 Zn 3.16
Ac (0.1613, 0.1661, 0.3893) (multiplicity 8)  3 Co 2.87-2.92
Ac (0.1608, 0.5000, 0.3862) (multiplicity 4)  3 Co 2.90-2.92
Ac (0.1744, 0.3183, 0.1186) (multiplicity 8)  2 Co 2.87-2.89, 1 Zn 3.13
Zn (0.0000, 0.5000, 0.0000) (multiplicity 2)  6 Ac 3.13-3.16
Co (0.0000, 0.0000, 0.5000) (multiplicity 2)  6 Ac 2.90
Co (0.0000, 0.1644, 0.0000) (multiplicity 4)  6 Ac 2.87-2.89
Co (0.0000, 0.3338, 0.5000) (multiplicity 4)  6 Ac 2.87-2.92

DFT (PBE) results for Ti2Zn3Ni2 after structural relaxation.

Calculated values
Offset from the most stable computed form: 0 meV per atom
ΔE_f: -281.2 meV/atom

a = 7.4049 Å, b = 4.2754 Å, c = 6.7596 Å
α = 90.00°, β = 111.50°, γ = 90.00°
Last column: nearest neighbours and their distance in Å.
Space group C2/m (No. 12)
Inequivalent atoms, fractional coordinates:
Ti (0.1045, 0.0000, 0.3142) (multiplicity 4)  4 Ni 2.47-2.48, 3 Zn 2.73
Zn (0.0000, 0.5000, 0.5000) (multiplicity 2)  2 Zn 2.56, 6 Ti 2.73, 6 Ni 2.79-2.80
Zn (0.1360, 0.5000, 0.9072) (multiplicity 4)  1 Ni 2.42, 1 Zn 2.56
Ni (0.2365, 0.0000, 0.7085) (multiplicity 4)  1 Zn 2.42, 4 Ti 2.47-2.48

DFT (PBE) results for Ba2MnAs after structural relaxation.

Calculated values
ΔE_f: -355.3 meV/atom

a = 4.4403 Å, b = 4.8047 Å, c = 13.0442 Å
α = 90.00°, β = 90.00°, γ = 90.00°
Last column: nearest neighbours and their distance in Å.
Space group Amm2 (No. 38)
Inequivalent atoms, fractional coordinates:
Ba (0.0000, 0.0000, 0.0000) (multiplicity 2)  4 As 3.44, 2 Mn 3.45
Ba (0.5000, 0.0000, 0.2796) (multiplicity 2)  4 Mn 3.47, 2 As 3.53
Mn (0.0000, 0.0000, 0.6899) (multiplicity 2)  2 As 2.63
As (0.5000, 0.0000, 0.5813) (multiplicity 2)  2 Mn 2.63

DFT (PBE) results for ZrCd8 after structural relaxation.

Calculated values
Offset from the most stable computed form: 0 meV per atom
ΔE_f: 5.6 meV/atom

a = 11.5019 Å, b = 11.5019 Å, c = 3.0427 Å
α = 90.00°, β = 90.00°, γ = 90.00°
Last column: nearest neighbours and their distance in Å.
Space group I4/mmm (No. 139)
Inequivalent atoms, fractional coordinates:
Zr (0.0000, 0.0000, 0.0000) (multiplicity 2)  2 Zr 3.04, 8 Cd 3.12
Cd (0.0000, 0.3328, 0.0000) (multiplicity 8)  10 Cd 3.04-3.12
Cd (0.1674, 0.1674, 0.5000) (multiplicity 8)  8 Cd 3.04-3.10, 2 Zr 3.12

DFT (PBE) results for In2TePb after structural relaxation.

Calculated values
Offset from the most stable computed form: 25 meV per atom
Energy relative to the elements, uncorrected: -5.74 kJ per mole of atoms

a = 4.1291 Å, b = 4.1291 Å, c = 6.9896 Å
α = 90.00°, β = 90.00°, γ = 90.00°
Last column: nearest neighbours and their distance in Å.
Space group P4/mmm (No. 123)
Inequivalent atoms, fractional coordinates:
In (0.0000, 0.0000, 0.2420) (multiplicity 2)  4 Te 3.37, 2 In 3.38-3.61, 4 Pb 3.43
Te (0.5000, 0.5000, 0.0000) (multiplicity 1)  8 In 3.37, 2 Pb 3.49
Pb (0.5000, 0.5000, 0.5000) (multiplicity 1)  8 In 3.43, 2 Te 3.49

DFT (PBE) results for LaPmPrTh2 after structural relaxation.

Calculated values
ΔE_f: 365.8 meV/atom

a = 6.7369 Å, b = 16.0186 Å, c = 6.7575 Å
α = 90.00°, β = 90.00°, γ = 90.00°
Last column: nearest neighbours and their distance in Å.
Space group Cmcm (No. 63)
Inequivalent atoms, fractional coordinates:
La (0.0000, 0.1484, 0.2500) (multiplicity 4)  1 Pr 3.18, 4 Th 3.38, 2 Pm 3.53
Pm (0.0000, 0.2864, 0.7500) (multiplicity 4)  2 Pr 3.51, 2 La 3.53
Pr (0.0000, 0.3466, 0.2500) (multiplicity 4)  1 La 3.18, 4 Th 3.41, 2 Pm 3.51
Th (0.2465, 0.5000, 0.0000) (multiplicity 8)  4 Th 3.32-3.42, 2 La 3.38, 2 Pr 3.41

DFT (PBE) results for AcHoCd2Hg4 after structural relaxation.

Calculated values
ΔE_f: -378.9 meV/atom

a = 5.2085 Å, b = 5.2085 Å, c = 26.0596 Å
α = 90.00°, β = 90.00°, γ = 120.00°
Last column: nearest neighbours and their distance in Å.
Space group R-3m (No. 166, hexagonal axes)
Inequivalent atoms, fractional coordinates:
Ac (0.0000, 0.0000, 0.0000) (multiplicity 3)  8 Hg 3.27-3.40
Ho (0.0000, 0.0000, 0.5000) (multiplicity 3)  8 Hg 3.05-3.15
Cd (0.0000, 0.0000, 0.2491) (multiplicity 6)  7 Hg 3.09-3.24
Hg (0.0000, 0.0000, 0.1304) (multiplicity 6)  4 Cd 3.09-3.24, 3 Ho 3.15, 1 Ac 3.40
Hg (0.0000, 0.0000, 0.3829) (multiplicity 6)  1 Ho 3.05, 3 Cd 3.14, 3 Ac 3.27

DFT (PBE) results for Zr2VTc2 after structural relaxation.

Calculated values
ΔE_f: -65.8 meV/atom

a = 6.3606 Å, b = 6.3606 Å, c = 4.5099 Å
α = 90.00°, β = 90.00°, γ = 90.00°
Last column: nearest neighbours and their distance in Å.
Space group P4/mbm (No. 127)
Inequivalent atoms, fractional coordinates:
Zr (0.1779, 0.3221, 0.0000) (multiplicity 4)  6 Tc 2.76-3.06
V (0.0000, 0.0000, 0.5000) (multiplicity 2)  4 Tc 2.44
Tc (0.1447, 0.6447, 0.5000) (multiplicity 4)  2 V 2.44, 1 Tc 2.60

| no. | D(E_F) (states/eV per cell) |
| --- | --- |
| 1 | 5.1 |
| 2 | 7.6 |
| 3 | 3.4 |
| 4 | 1.6 |
| 5 | 36.0 |
| 6 | 6.3 |
| 7 | 4.2 |
| 8 | 8.4 |
| 9 | 2.0 |
| 10 | 27.5 |
| 11 | 8.8 |
| 12 | 13.6 |